1.
## LuZnNiW (PBE)

Data for a relaxed LuZnNiW crystal.

a b c (Å): 4.554 4.554 4.554
angles (deg): 60.00 60.00 60.00
Positions (direct):
Zn 0.000 0.000 0.000
W 0.500 0.500 0.500
Lu 0.250 0.250 0.250
Ni 0.750 0.750 0.750

Properties
Its symmetry is No. 216. Its formation enthalpy at 0 K is 1.9 eV/f.u.

=====

2.
## SrHgSb (PBE)

Data for a relaxed SrHgSb crystal.

a b c (Å): 5.348 5.348 5.348
angles (deg): 60.00 60.00 60.00
Positions (direct):
Sb 0.750 0.750 0.750
Hg 0.250 0.250 0.250
Sr 0.000 0.000 0.000

Properties
As for the energy above the most stable polymorph in this dataset: 166.4 meV/atom. Its symmetry is No. 216.

=====

no.,total DFT energy (no corrections) (eV per atom)
1,-5.614
2,-2.385